[1]
A plane-wave DFT calculation with PBE was carried out for an optimized crystal structure of Nb4Co2PdSe12.

a = 7.277 Å, b = 7.277 Å, c = 19.479 Å
α = 109.28°, β = 109.28°, γ = 27.17°
Positions (direct):
Nb (0.118, 0.118, 0.150)
Nb (0.241, 0.241, 0.407)
Nb (0.759, 0.759, 0.593)
Nb (0.882, 0.882, 0.850)
Co (0.276, 0.276, 0.717)
Co (0.724, 0.724, 0.283)
Pd (0.500, 0.500, 0.000)
Se (0.102, 0.102, 0.281)
Se (0.133, 0.133, 0.610)
Se (0.300, 0.300, 0.235)
Se (0.318, 0.318, 0.927)
Se (0.367, 0.367, 0.548)
Se (0.469, 0.469, 0.118)
Se (0.531, 0.531, 0.882)
Se (0.633, 0.633, 0.452)
Se (0.682, 0.682, 0.073)
Se (0.700, 0.700, 0.765)
Se (0.867, 0.867, 0.390)
Se (0.898, 0.898, 0.719)

Results
The value obtained for the density is 5.786 g cm⁻³. As for the volume: 23.3 A^3/atom. The total energy comes out at -115.06 eV for the cell shown.



[2]
A plane-wave DFT calculation with PBE was carried out for an optimized crystal structure of Nb2CoPd2Se6.

a = 6.350 Å, b = 6.350 Å, c = 6.333 Å
α = 93.07°, β = 93.07°, γ = 123.23°
Positions (direct):
Nb (0.133, 0.867, 0.000)
Nb (0.867, 0.133, 0.000)
Co (0.500, 0.500, 0.000)
Pd (0.150, 0.850, 0.500)
Pd (0.850, 0.150, 0.500)
Se (0.173, 0.502, 0.778)
Se (0.227, 0.227, 0.281)
Se (0.498, 0.827, 0.222)
Se (0.502, 0.173, 0.778)
Se (0.773, 0.773, 0.719)
Se (0.827, 0.498, 0.222)

Results
The value obtained for the density is 7.286 g cm⁻³. As for the volume: 19.3 A^3/atom. The total energy comes out at -63.64 eV for the cell shown.